No. 1
A relaxed structure of CuGe3Se4. Source: the Alexandria database, functional PBE.

The value obtained for the energy relative to the elements, uncorrected is -0.17 eV per atom. The space group is No. 31.

Cell: 5.9390 5.8568 10.5125 Å, 90.00 90.00 90.00°
Fractional positions:
1 Cu 0.0005 0.1838 0.0000
2 Cu 0.5005 0.8162 0.5000
3 Ge 0.5437 0.7876 0.0000
4 Ge 0.0353 0.7103 0.2501
5 Ge 0.5353 0.2897 0.2499
6 Ge 0.0437 0.2124 0.5000
7 Ge 0.5353 0.2897 0.7501
8 Ge 0.0353 0.7103 0.7499
9 Se 0.1023 0.7810 0.0000
10 Se 0.5973 0.2384 0.0000
11 Se 0.1005 0.2774 0.2311
12 Se 0.6005 0.7226 0.2689
13 Se 0.0973 0.7616 0.5000
14 Se 0.6023 0.2190 0.5000
15 Se 0.6005 0.7226 0.7311
16 Se 0.1005 0.2774 0.7689

No. 2
A relaxed structure of TbPmSn. Source: the Alexandria database, functional PBE.

The formation energy is -0.610 eV/atom. As for the energy above the most stable polymorph in this dataset: 0 meV/atom. The space group is No. 139.

Cell: 4.6287 4.6287 9.1383 Å, 104.67 104.67 90.00°
Fractional positions:
1 Tb 0.5000 0.0000 0.0000
2 Tb 0.0000 0.5000 0.0000
3 Pm 0.3231 0.3231 0.6462
4 Pm 0.6769 0.6769 0.3538
5 Sn 0.8654 0.8654 0.7309
6 Sn 0.1346 0.1346 0.2691